## 1
First-principles (GGA+U) data for MoIrO2 after structural relaxation, as listed in Alexandria via LeMat-Bulk.

Properties
magnetic moment: 1.1 μB per formula unit

a b c (Å): 3.9126 3.9126 7.0616
angles (deg): 73.92 73.92 90.00
Last column: magnetic moment on the atom in μB.
Element x y z (fractional)
O1 0.6124 0.1250 0.2500  -0.09
O2 0.3750 0.3876 0.7500  -0.08
Ir1 0.0000 0.0000 0.0000  -0.33
Mo1 0.2500 0.7500 0.5000  1.57
Ir2 0.7500 0.2500 0.5000  -0.33
O3 0.1376 0.6250 0.2500  -0.09
O4 0.8750 0.8624 0.7500  -0.09
Mo2 0.5000 0.5000 0.0000  1.57

***

## 2
First-principles (GGA+U) data for MoIrO2 after structural relaxation, as listed in Alexandria via LeMat-Bulk.

Properties
magnetic moment: 3.8 μB per formula unit

a b c (Å): 6.3040 6.3040 6.3040
angles (deg): 30.02 30.02 30.02
Last column: magnetic moment on the atom in μB.
Element x y z (fractional)
Mo1 0.0000 0.0000 0.0000  3.29
O1 0.1182 0.1182 0.1182  0.00
O2 0.8818 0.8818 0.8818  0.00
Ir1 0.5000 0.5000 0.5000  0.11

***

The calculated energies rank the structures as follows, beginning with the most stable: 1, 2.

***

## 1
First-principles (GGA+U) data for MoIrO2 after structural relaxation, as listed in Alexandria via LeMat-Bulk.

Properties
magnetic moment: 0.6 μB per formula unit

a b c (Å): 3.9801 3.9801 3.9801
angles (deg): 60.00 60.00 60.00
Last column: magnetic moment on the atom in μB.
Element x y z (fractional)
Mo1 0.0000 0.0000 0.0000  0.53
Ir1 0.5000 0.5000 0.5000  0.07
O1 0.7500 0.7500 0.7500  0.00
O2 0.2500 0.2500 0.2500  0.00

***

## 2
First-principles (GGA+U) data for MoIrO2 after structural relaxation, as listed in Alexandria via LeMat-Bulk.

Properties
magnetic moment: 0.0 μB per formula unit

a b c (Å): 6.9956 6.9956 6.9956
angles (deg): 22.77 22.77 22.77
Element x y z (fractional)
Mo1 0.5000 0.5000 0.5000
O1 0.9018 0.9018 0.9018
O2 0.0982 0.0982 0.0982
Ir1 0.0000 0.0000 0.0000

***

The calculated energies rank the structures as follows, beginning with the most stable: 2, 1.